(1)
## Ga2Si2Au (PBE)

Data for a relaxed structure of Ga2Si2Au.

Cell and atoms, written as POSCAR:
```
Ga2Si2Au
1.0
4.2443 0.0000 0.0000
0.0000 4.2443 0.0000
0.0000 0.0000 10.3017
Ga Si Au
4 4 2
Direct
0.0000 0.5000 0.2500
0.0000 0.5000 0.7500
0.5000 0.0000 0.2500
0.5000 0.0000 0.7500
0.0000 0.0000 0.1111
0.0000 0.0000 0.8889
0.5000 0.5000 0.3889
0.5000 0.5000 0.6111
0.0000 0.0000 0.5000
0.5000 0.5000 0.0000
```

Results
Relative energy among the computed polymorphs in meV per atom: 141
VASP energy in eV per atom: -3.753
Total magnetic moment in μB/atom: 0.00



(2)
## NaPm4DySe8 (PBE)

Data for a relaxed structure of NaPm4DySe8.

Cell and atoms, written as POSCAR:
```
NaPm4DySe8
1.0
4.3304 2.5002 6.9885
-4.3304 2.5002 6.9885
0.0000 -5.0003 6.9885
Na Pm Dy Se
1 4 1 8
Direct
0.0000 0.0000 0.0000
0.1100 0.6282 0.6282
0.2476 0.2476 0.2476
0.6282 0.1099 0.6282
0.6282 0.6282 0.1099
0.6286 0.6286 0.6286
0.3815 0.3815 0.3815
0.3859 0.3859 0.8466
0.3859 0.8466 0.3859
0.4035 0.8604 0.8604
0.8466 0.3859 0.3859
0.8604 0.4035 0.8604
0.8604 0.8604 0.4035
0.8647 0.8647 0.8647
```

Results
VASP energy in eV per atom: -5.537
Total magnetic moment in μB/atom: 0.00



(3)
## PrHoPuCd (PBE)

Data for a relaxed structure of PrHoPuCd.

Cell and atoms, written as POSCAR:
```
PrHoPuCd
1.0
7.7431 0.0000 0.0000
0.0000 7.7431 0.0000
0.0000 0.0000 7.7431
Pr Ho Pu Cd
4 4 4 4
Direct
0.0000 0.0000 0.0000
0.0000 0.5000 0.5000
0.5000 0.0000 0.5000
0.5000 0.5000 0.0000
0.0000 0.0000 0.5000
0.0000 0.5000 0.0000
0.5000 0.0000 0.0000
0.5000 0.5000 0.5000
0.2500 0.2500 0.7500
0.2500 0.7500 0.2500
0.7500 0.2500 0.2500
0.7500 0.7500 0.7500
0.2500 0.2500 0.2500
0.2500 0.7500 0.7500
0.7500 0.2500 0.7500
0.7500 0.7500 0.2500
```

Results
VASP energy in eV per atom: -6.072
Total magnetic moment in μB/atom: 1.63
Formation enthalpy at 0 K in eV per atom: 0.08



(4)
## Tb2SmHo5 (PBE)

Data for a relaxed structure of Tb2SmHo5.

Cell and atoms, written as POSCAR:
```
Tb2SmHo5
1.0
5.7677 0.0000 0.0000
0.0000 11.0793 0.0000
-2.4190 0.0000 8.1160
Tb Sm Ho
4 2 10
Direct
0.1208 0.1152 0.0403
0.1208 0.3848 0.0403
0.8792 0.6152 0.9597
0.8792 0.8848 0.9597
0.4925 0.7500 0.1512
0.5075 0.2500 0.8488
0.1983 0.5783 0.3800
0.1983 0.9217 0.3800
0.2352 0.2500 0.4228
0.3284 0.5772 0.7877
0.3284 0.9228 0.7877
0.6716 0.0772 0.2123
0.6716 0.4228 0.2123
0.7648 0.7500 0.5772
0.8017 0.0783 0.6200
0.8017 0.4217 0.6200
```

Results
Relative energy among the computed polymorphs in meV per atom: 172
VASP energy in eV per atom: -4.421
Total magnetic moment in μB/atom: 0.00
Formation enthalpy at 0 K in eV per atom: 0.19



(5)
## HfCo2Au2 (PBE)

Data for a relaxed structure of HfCo2Au2.

Cell and atoms, written as POSCAR:
```
HfCo2Au2
1.0
6.5346 0.0000 0.0000
0.0000 6.5346 0.0000
0.0000 0.0000 3.6926
Hf Co Au
2 4 4
Direct
0.0000 0.0000 0.0000
0.5000 0.5000 0.0000
0.1244 0.3756 0.0000
0.3756 0.8756 0.0000
0.6244 0.1244 0.0000
0.8756 0.6244 0.0000
0.1712 0.6712 0.5000
0.3288 0.1712 0.5000
0.6712 0.8288 0.5000
0.8288 0.3288 0.5000
```

Results
Relative energy among the computed polymorphs in meV per atom: 0
VASP energy in eV per atom: -6.202
Total magnetic moment in μB/atom: 0.33
Formation enthalpy at 0 K in eV per atom: -0.06



(6)
## PmMgHgSb (PBE)

Data for a relaxed structure of PmMgHgSb.

Cell and atoms, written as POSCAR:
```
PmMgHgSb
1.0
7.4809 0.0000 0.0000
0.0000 7.4809 0.0000
0.0000 0.0000 7.4809
Pm Mg Hg Sb
4 4 4 4
Direct
0.0000 0.0000 0.0000
0.0000 0.5000 0.5000
0.5000 0.0000 0.5000
0.5000 0.5000 0.0000
0.0000 0.0000 0.5000
0.0000 0.5000 0.0000
0.5000 0.0000 0.0000
0.5000 0.5000 0.5000
0.2500 0.2500 0.2500
0.2500 0.7500 0.7500
0.7500 0.2500 0.7500
0.7500 0.7500 0.2500
0.2500 0.2500 0.7500
0.2500 0.7500 0.2500
0.7500 0.2500 0.2500
0.7500 0.7500 0.7500
```

Results
VASP energy in eV per atom: -3.124
Total magnetic moment in μB/atom: 0.00



(7)
## LuAgGeAu (PBE)

Data for a relaxed structure of LuAgGeAu.

Cell and atoms, written as POSCAR:
```
LuAgGeAu
1.0
6.7959 0.0000 0.0000
0.0000 6.7959 0.0000
0.0000 0.0000 6.7959
Lu Ag Ge Au
4 4 4 4
Direct
0.0000 0.0000 0.0000
0.0000 0.5000 0.5000
0.5000 0.0000 0.5000
0.5000 0.5000 0.0000
0.0000 0.0000 0.5000
0.0000 0.5000 0.0000
0.5000 0.0000 0.0000
0.5000 0.5000 0.5000
0.2500 0.2500 0.7500
0.2500 0.7500 0.2500
0.7500 0.2500 0.2500
0.7500 0.7500 0.7500
0.2500 0.2500 0.2500
0.2500 0.7500 0.7500
0.7500 0.2500 0.7500
0.7500 0.7500 0.2500
```

Results
VASP energy in eV per atom: -4.248
Total magnetic moment in μB/atom: 0.00
Formation enthalpy at 0 K in eV per atom: -0.43



(8)
## Pu2ZnSi2Rh5 (PBE)

Data for a relaxed structure of Pu2ZnSi2Rh5.

Cell and atoms, written as POSCAR:
```
Pu2ZnSi2Rh5
1.0
9.8407 0.0000 0.0000
0.0000 9.8407 0.0000
0.0000 0.0000 3.4059
Pu Zn Si Rh
4 2 4 10
Direct
0.1749 0.3251 0.0000
0.3251 0.8251 0.0000
0.6749 0.1749 0.0000
0.8251 0.6749 0.0000
0.0000 0.0000 0.0000
0.5000 0.5000 0.0000
0.1257 0.6257 0.0000
0.3743 0.1257 0.0000
0.6257 0.8743 0.0000
0.8743 0.3743 0.0000
0.0000 0.5000 0.5000
0.0661 0.7901 0.5000
0.2099 0.0661 0.5000
0.2901 0.5661 0.5000
0.4339 0.2901 0.5000
0.5000 0.0000 0.5000
0.5661 0.7099 0.5000
0.7099 0.4339 0.5000
0.7901 0.9339 0.5000
0.9339 0.2099 0.5000
```

Results
VASP energy in eV per atom: -8.406
Total magnetic moment in μB/atom: 1.00



(9)
## Na5In2Sb4 (PBE)

Data for a relaxed structure of Na5In2Sb4.

Cell and atoms, written as POSCAR:
```
Na5In2Sb4
1.0
9.5228 -2.2142 0.0000
9.5228 2.2142 0.0000
-3.1833 0.0000 9.1852
Na In Sb
5 2 4
Direct
0.0000 0.0000 0.0000
0.3235 0.3235 0.0686
0.3325 0.3325 0.5246
0.6675 0.6675 0.4754
0.6765 0.6765 0.9314
0.0724 0.0724 0.6885
0.9276 0.9276 0.3115
0.2251 0.2251 0.7293
0.4948 0.4948 0.7480
0.5052 0.5052 0.2520
0.7749 0.7749 0.2707
```

Results
VASP energy in eV per atom: -2.811
Total magnetic moment in μB/atom: 0.00



(10)
## Co2AuSe (PBE)

Data for a relaxed structure of Co2AuSe.

Cell and atoms, written as POSCAR:
```
Co2AuSe
1.0
3.0875 0.0000 0.0000
0.0000 3.5725 0.0000
0.0000 0.0000 5.5352
Co Au Se
2 1 1
Direct
0.0000 0.0000 0.2379
0.0000 0.0000 0.7621
0.5000 0.5000 0.0000
0.0000 0.5000 0.5000
```

Results
Relative energy among the computed polymorphs in meV per atom: 98
VASP energy in eV per atom: -4.947
Total magnetic moment in μB/atom: 0.56



(11)
## Ho3In2Ga (PBE)

Data for a relaxed structure of Ho3In2Ga.

Cell and atoms, written as POSCAR:
```
Ho3In2Ga
1.0
3.5017 0.0000 0.0000
0.0000 3.5017 0.0000
0.0000 0.0000 12.2037
Ho In Ga
3 2 1
Direct
0.0000 0.0000 0.0000
0.0000 0.0000 0.3476
0.0000 0.0000 0.6524
0.5000 0.5000 0.1723
0.5000 0.5000 0.8277
0.5000 0.5000 0.5000
```

Results
Relative energy among the computed polymorphs in meV per atom: 0
VASP energy in eV per atom: -4.197
Total magnetic moment in μB/atom: 0.00
Formation enthalpy at 0 K in eV per atom: -0.49



(12)
## PrDy2Hf (PBE)

Data for a relaxed structure of PrDy2Hf.

Cell and atoms, written as POSCAR:
```
PrDy2Hf
1.0
3.4598 0.0000 0.0000
-1.7299 2.9963 0.0000
0.0000 0.0000 34.2034
Pr Dy Hf
3 6 3
Direct
0.0000 0.0000 0.0000
0.3333 0.6667 0.6667
0.6667 0.3333 0.3333
0.0000 0.0000 0.2426
0.0000 0.0000 0.4237
0.3333 0.6667 0.0904
0.3333 0.6667 0.9092
0.6667 0.3333 0.5759
0.6667 0.3333 0.7571
0.0000 0.0000 0.8335
0.3333 0.6667 0.5001
0.6667 0.3333 0.1668
```

Results
Relative energy among the computed polymorphs in meV per atom: 0
VASP energy in eV per atom: -5.862
Total magnetic moment in μB/atom: 0.00
Formation enthalpy at 0 K in eV per atom: 0.12